The following is a DFT calculation (GGA-PBE) of crystalline KRb2TlS at its relaxed geometry.

a = 6.460 Å, b = 6.460 Å, c = 6.091 Å
α = 90.00°, β = 90.00°, γ = 90.00°
Atoms (fractional coordinates):
S: 0.000 0.000 0.000
K: 0.000 0.000 0.500
Rb: 0.500 0.000 0.000
Rb: 0.000 0.500 0.000
Tl: 0.500 0.500 0.500

Summary:
For the uncorrected formation energy, the calculation gives -0.408 eV/atom.